Entry 1:
# HfAsH2Ir PBE relaxed
data_HfAsH2Ir
_space_group_name_H-M_alt 'P 4/m m m'
_space_group_IT_number 123
_space_group_name_Hall '-P 4 2'
_cell_length_a 3.681
_cell_length_b 3.681
_cell_length_c 5.318
_cell_angle_alpha 90.00
_cell_angle_beta 90.00
_cell_angle_gamma 90.00
loop_
_atom_site_label
_atom_site_type_symbol
_atom_site_fract_x
_atom_site_fract_y
_atom_site_fract_z
_atom_site_occupancy
Hf1 Hf 0.000 0.000 0.000 1
As1 As 0.500 0.500 0.500 1
H1 H 0.000 0.500 0.000 1
Ir1 Ir 0.000 0.000 0.500 1
# E_tot: -5.96 eV per atom
# Magnetization: 0.00 μB/cell



Entry 2:
# LiHfAs2H PBE relaxed
data_LiHfAs2H
_space_group_name_H-M_alt 'P 4/m m m'
_space_group_IT_number 123
_space_group_name_Hall '-P 4 2'
_cell_length_a 4.631
_cell_length_b 4.631
_cell_length_c 3.630
_cell_angle_alpha 90.00
_cell_angle_beta 90.00
_cell_angle_gamma 90.00
loop_
_atom_site_label
_atom_site_type_symbol
_atom_site_fract_x
_atom_site_fract_y
_atom_site_fract_z
_atom_site_occupancy
Li1 Li 0.000 0.000 0.000 1
Hf1 Hf 0.500 0.500 0.000 1
As1 As 0.000 0.500 0.500 1
H1 H 0.500 0.500 0.500 1
# E_tot: -5.09 eV per atom
# Magnetization: 0.00 μB/cell



Entry 3:
# HfNi2AsH PBE relaxed
data_HfNi2AsH
_space_group_name_H-M_alt 'P 4/m m m'
_space_group_IT_number 123
_space_group_name_Hall '-P 4 2'
_cell_length_a 3.762
_cell_length_b 3.762
_cell_length_c 4.241
_cell_angle_alpha 90.00
_cell_angle_beta 90.00
_cell_angle_gamma 90.00
loop_
_atom_site_label
_atom_site_type_symbol
_atom_site_fract_x
_atom_site_fract_y
_atom_site_fract_z
_atom_site_occupancy
Hf1 Hf 0.000 0.000 0.000 1
Ni1 Ni 0.000 0.500 0.500 1
As1 As 0.500 0.500 0.000 1
H1 H 0.000 0.000 0.500 1
# E_tot: -6.29 eV per atom
# Magnetization: 0.00 μB/cell